(1)
4
Lattice="2.7899 -3.9839 0.0000 2.7899 3.9839 0.0000 -1.9679 0.0000 3.4469" Properties=species:S:1:pos:R:3 comment="TaTeP2, relaxed, DFT PBE" formation_energy_uncorrected_ev_per_atom=0.3777 vol_a3_per_cell=77 pbc="T T T"
Ta 0.0000 0.0000 0.0000
Te 2.7899 0.0000 0.0000
P 0.4110 1.9920 1.7235
P 0.4110 -1.9920 1.7235

***

(2)
5
Lattice="5.3886 0.0000 0.0000 0.0000 5.3886 0.0000 0.0000 0.0000 5.3886" Properties=species:S:1:pos:R:3 comment="SrHo3Mn, relaxed, DFT PBE" formation_enthalpy_0k_ev_per_atom=0.19 vol_a3_per_cell=156 pbc="T T T"
Sr 0.0000 0.0000 0.0000
Ho 0.0000 2.6943 2.6943
Ho 2.6943 0.0000 2.6943
Ho 2.6943 2.6943 0.0000
Mn 2.6943 2.6943 2.6943

***

(3)
5
Lattice="4.6612 0.0000 0.0000 0.0000 4.6612 0.0000 0.0000 0.0000 4.6612" Properties=species:S:1:pos:R:3 comment="KLaH3, relaxed, DFT PBE" vol_a3_per_cell=101 e_above_lowest_polymorph_ev_per_atom=0.000 pbc="T T T"
K 0.0000 0.0000 0.0000
La 2.3306 2.3306 2.3306
H 0.0000 2.3306 2.3306
H 2.3306 0.0000 2.3306
H 2.3306 2.3306 0.0000

***

(4)
5
Lattice="5.3614 0.0000 0.0000 0.0000 5.3614 0.0000 0.0000 0.0000 4.5160" Properties=species:S:1:pos:R:3 comment="Zr2CuSbP, relaxed, DFT PBE" formation_energy_uncorrected_ev_per_atom=0.7534 vol_a3_per_cell=130 pbc="T T T"
Zr 0.0000 2.6807 0.0000
Zr 2.6807 0.0000 0.0000
Cu 0.0000 0.0000 2.2580
Sb 0.0000 0.0000 0.0000
P 2.6807 2.6807 2.2580

***

(5)
12
Lattice="8.0504 -3.4192 0.0000 8.0504 3.4192 0.0000 -2.8957 0.0000 6.1950" Properties=species:S:1:pos:R:3 comment="Er4SbIr, relaxed, DFT PBE" formation_energy_uncorrected_ev_per_atom=-0.6556 vol_a3_per_cell=341 e_above_lowest_polymorph_ev_per_atom=0.083 pbc="T T T"
Er 0.3816 0.0013 3.9530
Er 1.8295 -0.0013 0.8555
Er 4.7671 -0.0004 2.2394
Er 3.3192 0.0004 5.3369
Er 9.8858 -0.0004 0.8581
Er 8.4379 0.0004 3.9556
Er 11.3755 0.0013 5.3396
Er 12.8234 -0.0013 2.2420
Sb 5.8786 1.7060 4.6463
Sb 7.3264 -1.7060 1.5488
Ir 4.0252 1.7096 0.0000
Ir 2.5773 -1.7096 3.0975

***

(6)
5
Lattice="-1.8492 1.8492 9.0545 1.8492 -1.8492 9.0545 1.8492 1.8492 -9.0545" Properties=species:S:1:pos:R:3 comment="Sr2Cu2Au, relaxed, DFT PBE" formation_enthalpy_0k_ev_per_atom=-0.20 vol_a3_per_cell=124 e_above_lowest_polymorph_ev_per_atom=0.122 pbc="T T T"
Sr 0.0000 0.0000 1.9571
Sr 0.0000 0.0000 16.1518
Cu 1.8492 0.0000 4.5272
Cu 0.0000 1.8492 4.5272
Au 0.0000 0.0000 9.0545

***

So what do the calculations give for density of states at the Fermi level? Going down the list: 2.395, 4.949, 1.684, 4.839, 5.071, 1.605 states/eV/f.u..